# 1
A plane-wave DFT calculation with GGA-PBE was carried out for a relaxed structure of Pm6Sm12Sc.

Magnetic moment = 0.00 μB per cell
D(E_F) = 1.670 states/eV/atom
Formation energy = 2.62 eV per formula unit
DFT total energy = -4.676 eV/atom

Cell: 8.648 8.648 8.648 Å, 89.30 89.30 89.30°
Fractional positions:
Pm  0.202  0.761  0.594
Pm  0.239  0.406  0.798
Pm  0.406  0.798  0.239
Pm  0.594  0.202  0.761
Pm  0.761  0.594  0.202
Pm  0.798  0.239  0.406
Sm  0.035  0.938  0.280
Sm  0.062  0.720  0.965
Sm  0.142  0.482  0.310
Sm  0.280  0.035  0.938
Sm  0.310  0.142  0.482
Sm  0.482  0.310  0.142
Sm  0.518  0.690  0.858
Sm  0.690  0.858  0.518
Sm  0.720  0.965  0.062
Sm  0.858  0.518  0.690
Sm  0.938  0.280  0.035
Sm  0.965  0.062  0.720
Sc  0.500  0.500  0.500

# 2
A plane-wave DFT calculation with GGA-PBE was carried out for a relaxed structure of Rb2MgCl.

Magnetic moment = 0.87 μB per cell
D(E_F) = 0.348 states/eV/atom
DFT total energy = -1.843 eV/atom
Energy relative to the elements, uncorrected = -0.499 eV/atom

Cell: 6.345 6.345 6.345 Å, 60.00 60.00 60.00°
Fractional positions:
Rb  0.250  0.250  0.250
Rb  0.750  0.750  0.750
Mg  0.000  0.000  0.000
Cl  0.500  0.500  0.500

# 3
A plane-wave DFT calculation with GGA-PBE was carried out for a relaxed structure of PmSm3C2.

Magnetic moment = 0.41 μB per cell
D(E_F) = 0.727 states/eV/atom
Formation energy = -0.95 eV per formula unit
DFT total energy = -6.384 eV/atom

Cell: 8.603 8.603 12.674 Å, 128.24 128.24 24.55°
Fractional positions:
Pm  0.143  0.143  0.202
Pm  0.857  0.857  0.798
Sm  0.142  0.142  0.701
Sm  0.356  0.356  0.048
Sm  0.357  0.357  0.549
Sm  0.643  0.643  0.451
Sm  0.644  0.644  0.952
Sm  0.858  0.858  0.299
C  0.249  0.249  0.624
C  0.251  0.251  0.125
C  0.749  0.749  0.875
C  0.751  0.751  0.376

# 4
A plane-wave DFT calculation with GGA-PBE was carried out for a relaxed structure of SrRuPb.

Magnetic moment = 0.00 μB per cell
D(E_F) = 0.583 states/eV/atom
Formation energy = 0.75 eV per formula unit
DFT total energy = -4.639 eV/atom

Cell: 4.860 4.860 4.860 Å, 60.00 60.00 60.00°
Fractional positions:
Sr  0.000  0.000  0.000
Ru  0.750  0.750  0.750
Pb  0.500  0.500  0.500

# 5
A plane-wave DFT calculation with GGA-PBE was carried out for a relaxed structure of Na2LiNi3H12.

Magnetic moment = 0.00 μB per cell
D(E_F) = 0.158 states/eV/atom
DFT total energy = -3.539 eV/atom

Cell: 5.838 5.838 5.838 Å, 60.97 60.97 60.97°
Fractional positions:
Na  0.123  0.123  0.123
Na  0.877  0.877  0.877
Li  0.500  0.500  0.500
Ni  0.000  0.500  0.500
Ni  0.500  0.000  0.500
Ni  0.500  0.500  0.000
H  0.105  0.608  0.608
H  0.192  0.192  0.619
H  0.192  0.619  0.192
H  0.381  0.808  0.808
H  0.392  0.392  0.895
H  0.392  0.895  0.392
H  0.608  0.105  0.608
H  0.608  0.608  0.105
H  0.619  0.192  0.192
H  0.808  0.381  0.808
H  0.808  0.808  0.381
H  0.895  0.392  0.392

# 6
A plane-wave DFT calculation with GGA-PBE was carried out for a relaxed structure of HfPaTaTi.

Magnetic moment = 0.00 μB per cell
D(E_F) = 1.625 states/eV/atom
Formation energy = 0.36 eV per formula unit
DFT total energy = -9.708 eV/atom

Cell: 4.879 4.879 4.879 Å, 60.00 60.00 60.00°
Fractional positions:
Hf  0.000  0.000  0.000
Pa  0.500  0.500  0.500
Ta  0.750  0.750  0.750
Ti  0.250  0.250  0.250

# 7
A plane-wave DFT calculation with GGA-PBE was carried out for a relaxed structure of CaTcPd2.

Magnetic moment = 3.00 μB per cell
D(E_F) = 0.728 states/eV/atom
Formation energy = 0.32 eV per formula unit
DFT total energy = -5.608 eV/atom

Cell: 4.694 4.694 4.694 Å, 60.00 60.00 60.00°
Fractional positions:
Ca  0.000  0.000  0.000
Tc  0.500  0.500  0.500
Pd  0.250  0.250  0.250
Pd  0.750  0.750  0.750

# 8
A plane-wave DFT calculation with GGA-PBE was carried out for a relaxed structure of ErIn4Sn.

Magnetic moment = 0.00 μB per cell
D(E_F) = 0.342 states/eV/atom
Formation energy = -0.29 eV per formula unit
DFT total energy = -3.301 eV/atom

Cell: 4.500 4.500 8.770 Å, 90.00 90.00 90.00°
Fractional positions:
Er  0.000  0.000  0.000
In  0.000  0.500  0.257
In  0.000  0.500  0.743
In  0.500  0.000  0.257
In  0.500  0.000  0.743
Sn  0.500  0.500  0.500

# 9
A plane-wave DFT calculation with GGA-PBE was carried out for a relaxed structure of Rb5LiF6.

Magnetic moment = 0.36 μB per cell
D(E_F) = 0.000 states/eV/atom
DFT total energy = -4.124 eV/atom
Energy relative to the elements, uncorrected = -2.626 eV/atom

Cell: 6.896 6.896 6.739 Å, 98.55 98.55 121.45°
Fractional positions:
Rb  0.000  0.000  0.000
Rb  0.170  0.830  0.500
Rb  0.341  0.659  0.000
Rb  0.659  0.341  0.000
Rb  0.830  0.170  0.500
Li  0.500  0.500  0.500
F  0.073  0.406  0.238
F  0.322  0.322  0.673
F  0.406  0.073  0.238
F  0.594  0.927  0.762
F  0.678  0.678  0.327
F  0.927  0.594  0.762

# 10
A plane-wave DFT calculation with GGA-PBE was carried out for a relaxed structure of PrEuCdBi.

Magnetic moment = 7.78 μB per cell
D(E_F) = 1.042 states/eV/atom
Formation energy = -2.08 eV per formula unit
DFT total energy = -5.482 eV/atom

Cell: 5.600 5.600 5.600 Å, 60.00 60.00 60.00°
Fractional positions:
Pr  0.000  0.000  0.000
Eu  0.500  0.500  0.500
Cd  0.250  0.250  0.250
Bi  0.750  0.750  0.750

# 11
A plane-wave DFT calculation with GGA-PBE was carried out for a relaxed structure of PrPaPb2.

Magnetic moment = 0.98 μB per cell
D(E_F) = 1.448 states/eV/atom
Formation energy = -0.73 eV per formula unit
DFT total energy = -5.604 eV/atom

Cell: 5.917 5.917 3.312 Å, 90.00 90.00 90.00°
Fractional positions:
Pr  0.000  0.000  0.000
Pa  0.500  0.500  0.000
Pb  0.000  0.500  0.500
Pb  0.500  0.000  0.500

# 12
A plane-wave DFT calculation with GGA-PBE was carried out for a relaxed structure of CsPb2Au.

Magnetic moment = 0.00 μB per cell
D(E_F) = 0.380 states/eV/atom
Formation energy = -0.85 eV per formula unit
DFT total energy = -3.099 eV/atom

Cell: 8.052 8.052 8.052 Å, 34.92 34.92 34.92°
Fractional positions:
Cs  0.000  0.000  0.000
Pb  0.211  0.211  0.211
Pb  0.789  0.789  0.789
Au  0.500  0.500  0.500